(1)
Computed, not measured: a geometry-optimized PrHo9Sc2 structure at the PBE-GGA level of DFT.

Polymorph energy (0 for the lowest one) = 0 meV per atom
DFT formation energy = 0.0311 eV per atom

a b c (Å): 3.470 11.036 11.036
angles (deg): 120.00 90.00 90.00
Fractional coordinates of all 12 atoms:
Pr 0.000 0.000 0.000
Ho 0.000 0.000 0.500
Ho 0.000 0.500 0.500
Ho 0.000 0.500 0.000
Ho 0.500 0.362 0.181
Ho 0.500 0.181 0.819
Ho 0.500 0.181 0.362
Ho 0.500 0.819 0.638
Ho 0.500 0.819 0.181
Ho 0.500 0.638 0.819
Sc 0.000 0.333 0.667
Sc 0.000 0.667 0.333

***

(2)
Computed, not measured: a geometry-optimized Pr10HoSc4 structure at the PBE-GGA level of DFT.

DFT formation energy = 0.5101 eV per atom

a b c (Å): 8.205 9.008 9.008
angles (deg): 78.03 62.91 62.91
Fractional coordinates of all 15 atoms:
Pr 0.250 0.500 0.500
Pr 0.689 0.345 0.884
Pr 0.965 0.116 0.345
Pr 0.427 0.884 0.655
Pr 0.918 0.655 0.116
Pr 0.311 0.655 0.116
Pr 0.750 0.500 0.500
Pr 0.082 0.345 0.884
Pr 0.573 0.116 0.345
Pr 0.035 0.884 0.655
Ho 0.000 0.000 0.000
Sc 0.433 0.858 0.276
Sc 0.709 0.724 0.858
Sc 0.291 0.276 0.142
Sc 0.567 0.142 0.724

***

Going through the records in order, we get ρ values of 7.78; 5.52 g/cm³.